[1]
PBE NaLa2Ga2, optimized geometry; E above lowest polymorph = 28.35 kJ/mol of atoms; crystal system = tetragonal; formation energy = -0.071 eV/atom
1.0
4.9018 0.0000 0.0000
0.0000 4.9018 0.0000
2.4509 2.4509 6.4836
La Ga Na
2 2 1
direct
0.7500 0.2500 0.5000
0.2500 0.7500 0.5000
0.5941 0.5941 0.8118
0.4059 0.4059 0.1882
0.0000 0.0000 0.0000



[2]
PBE CaTl4Pb7, optimized geometry; crystal system = monoclinic; formation energy = 0.041 eV/atom
1.0
6.0926 0.0000 0.0000
3.0463 10.7324 -0.2827
3.0463 0.1262 6.1640
Tl Pb Ca
4 7 1
direct
0.4048 0.7720 0.4184
0.7152 0.6965 0.8732
0.5952 0.2280 0.5816
0.2848 0.3035 0.1268
0.9634 0.3867 0.6866
0.2082 0.0873 0.4964
0.5000 0.0000 0.0000
0.3444 0.5352 0.7760
0.6556 0.4648 0.2240
0.7918 0.9127 0.5036
0.0366 0.6133 0.3134
0.0000 0.0000 0.0000



[3]
PBE Tl2TcRu, optimized geometry; E above lowest polymorph = 27.97 kJ/mol of atoms; crystal system = orthorhombic; formation energy = 0.682 eV/atom
1.0
-0.3868 2.5860 5.7784
-5.1372 0.5283 3.6821
4.3114 -3.3389 -3.2390
Tl Tc Ru
2 1 1
direct
0.0131 0.0131 0.0000
0.7221 0.2221 0.5000
0.2914 0.7914 0.5000
0.4734 0.4734 0.0000



[4]
PBE Co2HgRu, optimized geometry; crystal system = orthorhombic; formation energy = 0.481 eV/atom
1.0
5.1606 0.0086 0.0088
2.4290 4.5532 -0.0088
-3.2600 -3.1706 2.4395
Ru Hg Co
1 1 2
direct
0.2289 0.7289 0.5000
0.5094 0.5094 0.0000
0.9876 0.9876 0.0000
0.7741 0.2741 0.5000



[5]
PBE Sc4TcAu, optimized geometry; E above lowest polymorph = 72.38 kJ/mol of atoms; crystal system = cubic; formation energy = 0.350 eV/atom
1.0
4.4991 -1.2174 2.9040
2.0965 3.6859 3.4894
-0.3685 -0.8271 5.4164
Sc Tc Au
4 1 1
direct
0.8722 0.3759 0.3759
0.3759 0.8722 0.3759
0.3759 0.3759 0.8722
0.3759 0.3759 0.3759
0.7500 0.7500 0.7500
0.0000 0.0000 0.0000



[6]
PBE Rb3BaSb, optimized geometry; energy relative to the elements, uncorrected = 0.768 eV per atom; E above lowest polymorph = 72.44 kJ/mol of atoms; crystal system = cubic
1.0
-7.2353 -2.2193 -0.0698
1.7504 -5.5544 -4.8338
1.3662 -4.6372 5.8232
Rb Ba Sb
3 1 1
direct
0.0000 0.0000 0.5000
0.0000 0.5000 0.0000
0.5000 0.0000 0.0000
0.0000 0.0000 0.0000
0.5000 0.5000 0.5000